Record 1
4
Lattice="1.377 0.795 8.267 -1.377 0.795 8.267 0.000 -1.590 8.267" Properties=species:S:1:pos:R:3 comment="ReGeF2, optimized geometry, DFT PBE" crystal_system=trigonal dos_ef_per_ev_atom=0.366 polymorph_energy_mev_per_atom=0 formation_energy_uncorrected_mev_per_atom=-900 sg="R-3m (166)" e_tot_ev_per_fu=-24.41 vol_a3_per_cell=54.3 pbc="T T T"
Re 0.000 0.000 0.000
Ge 0.000 0.000 12.400
F 0.000 0.000 1.991
F 0.000 0.000 22.809

Record 2
6
Lattice="5.122 -1.948 0.000 5.122 1.948 0.000 -1.076 0.000 6.391" Properties=species:S:1:pos:R:3 comment="SmClF, optimized geometry, DFT PBE" crystal_system=monoclinic polymorph_energy_mev_per_atom=38 formation_energy_uncorrected_mev_per_atom=-2662 sg="C2/m (12)" e_tot_ev_per_fu=-16.42 vol_a3_per_cell=127.5 pbc="T T T"
Sm 2.018 0.000 1.463
Sm 7.149 0.000 4.929
Cl -0.110 0.000 5.048
Cl 9.277 0.000 1.343
F 2.756 0.000 3.756
F 6.411 0.000 2.636

Record 3
5
Lattice="4.470 0.000 0.000 0.000 4.470 0.000 0.000 0.000 4.470" Properties=species:S:1:pos:R:3 comment="SbS3F, optimized geometry, DFT PBE" crystal_system=cubic dos_ef_per_ev_atom=0.744 formation_energy_uncorrected_mev_per_atom=638 sg="Pm-3m (221)" e_tot_ev_per_fu=-15.19 vol_a3_per_cell=89.3 pbc="T T T"
Sb 0.000 0.000 0.000
S 0.000 2.235 2.235
S 2.235 0.000 2.235
S 2.235 2.235 0.000
F 2.235 2.235 2.235

Record 4
6
Lattice="0.000 3.992 3.992 3.992 0.000 3.992 3.992 3.992 0.000" Properties=species:S:1:pos:R:3 comment="EuPuGe4, optimized geometry, DFT PBE" crystal_system=cubic dos_ef_per_ev_atom=2.416 sg="F-43m (216)" e_tot_ev_per_fu=-45.06 vol_a3_per_cell=127.3 pbc="T T T"
Eu 0.000 0.000 0.000
Pu 5.989 5.989 5.989
Ge 3.001 3.001 3.001
Ge 4.983 4.983 3.001
Ge 4.983 3.001 4.983
Ge 3.001 4.983 4.983

Record 5
10
Lattice="-5.064 5.064 3.212 5.064 -5.064 3.212 5.064 5.064 -3.212" Properties=species:S:1:pos:R:3 comment="La4HoTe5, optimized geometry, DFT PBE" crystal_system=tetragonal dos_ef_per_ev_atom=0.648 polymorph_energy_mev_per_atom=0 formation_energy_uncorrected_mev_per_atom=-1520 sg="I4/m (87)" e_tot_ev_per_fu=-55.20 vol_a3_per_cell=329.5 pbc="T T T"
La 3.090 0.956 0.000
La 4.108 -1.974 3.212
La 0.956 7.038 0.000
La 1.974 4.108 3.212
Ho 0.000 0.000 3.212
Te 0.000 0.000 0.000
Te 6.080 2.152 0.000
Te 2.152 4.048 0.000
Te 2.911 1.016 3.212
Te -1.016 2.911 3.212

Record 6
5
Lattice="4.385 0.000 0.000 0.000 4.385 0.000 0.000 0.000 4.860" Properties=species:S:1:pos:R:3 comment="LaIrNO2, optimized geometry, DFT PBE" crystal_system=tetragonal dos_ef_per_ev_atom=1.044 formation_energy_uncorrected_mev_per_atom=685 sg="P4/mmm (123)" e_tot_ev_per_fu=-28.60 vol_a3_per_cell=93.5 pbc="T T T"
La 0.000 0.000 0.000
Ir 2.193 2.193 2.430
N 0.000 0.000 2.430
O 0.000 2.193 0.000
O 2.193 0.000 0.000